# 1
Cr2InRe after structural relaxation. Source: Alexandria, functional PBE-GGA.

Calculated values
Crystal system: monoclinic
Energy relative to the elements (eV per atom): 0.56
Volume (Å³/f.u.): 59
Calculated total energy (eV for the cell shown): -32.2
M_tot (μB per atom): 0.40

Lattice parameters (Å, degrees): 5.3500 5.0207 2.6947 81.02 77.84 118.44
Site moments in Bohr magnetons follow the coordinates.
Fractional positions:
Cr  0.0000  0.0000  0.0000  0.79
Cr  0.5000  0.0000  0.5000  0.79
In  0.0000  0.5000  0.5000  -0.02
Re  0.5000  0.5000  0.0000  -0.05

---

# 2
Zn3GaAg3 after structural relaxation. Source: Alexandria, functional PBE-GGA.

Calculated values
Crystal system: trigonal
Energy relative to the elements (eV per atom): 0.07
Volume (Å³/f.u.): 123
Offset from the most stable computed form (eV/atom): 0.067
Calculated total energy (eV for the cell shown): -14.9
M_tot (μB per atom): 0.00

Lattice parameters (Å, degrees): 5.1467 5.1467 5.1467 103.39 103.39 103.39
Fractional positions:
Zn  0.5387  0.9727  0.9727
Zn  0.9727  0.9727  0.5387
Zn  0.9727  0.5387  0.9727
Ga  0.0811  0.0811  0.0811
Ag  0.5336  0.5336  0.1670
Ag  0.5336  0.1670  0.5336
Ag  0.1670  0.5336  0.5336

---

# 3
V2GaNiAs after structural relaxation. Source: Alexandria, functional PBE-GGA.

Calculated values
Crystal system: tetragonal
Energy relative to the elements (eV per atom): 1.04
Volume (Å³/f.u.): 92
Calculated total energy (eV for the cell shown): -26.5
M_tot (μB per atom): 0.50

Lattice parameters (Å, degrees): 4.4374 4.6628 4.4374 90.00 90.00 90.00
Site moments in Bohr magnetons follow the coordinates.
Fractional positions:
Ni  0.5000  0.5000  0.5000  0.32
As  0.0000  0.0000  0.0000  -0.03
Ga  0.0000  0.5000  0.0000  -0.03
V  0.0000  0.0000  0.5000  1.11
V  0.5000  0.0000  0.0000  0.97

---

# 4
Pm2PrTl2 after structural relaxation. Source: Alexandria, functional PBE-GGA.

Calculated values
Crystal system: hexagonal
Energy relative to the elements (eV per atom): -0.04
Volume (Å³/f.u.): 159
Offset from the most stable computed form (eV/atom): 0.150
Calculated total energy (eV for the cell shown): -38.5
M_tot (μB per atom): 0.08

Lattice parameters (Å, degrees): 5.2863 5.2863 13.1318 90.00 90.00 120.00
Site moments in Bohr magnetons follow the coordinates.
Fractional positions:
Pm  0.6667  0.3333  0.7500  0.01
Pm  0.0000  0.0000  0.0000  0.12
Pm  0.0000  0.0000  0.5000  0.12
Pm  0.3333  0.6667  0.2500  0.01
Pr  0.0000  0.0000  0.2500  0.12
Pr  0.0000  0.0000  0.7500  0.12
Tl  0.3333  0.6667  0.6271  0.00
Tl  0.6667  0.3333  0.1271  0.00
Tl  0.6667  0.3333  0.3729  0.00
Tl  0.3333  0.6667  0.8729  0.00

---

Question: Which value of calculated total energy does entry 1 give?
Answer: -32.2 eV for the cell shown

---

Question: M_tot of number 2 (Zn3GaAg3)?
Answer: 0.00 μB per atom